(1)
Compound: NaRh3S
Source: the Alexandria database
Functional: PBE
Structure: optimized geometry

```
NaRh3S
1.0
4.587 0.000 0.000
0.000 4.587 0.000
0.000 0.000 4.587
Na Rh S
1 3 1
Cartesian
0.000 0.000 0.000
0.000 0.000 2.293
0.000 2.293 0.000
2.293 0.000 0.000
2.293 2.293 2.293
```

Results
energy above the most stable polymorph in this dataset	1872	meV/atom
formation energy without anion corrections	1.886	eV per atom
total DFT energy (no corrections)	-0.1328	Ha/atom

(2)
Compound: NaRhS2
Source: the Alexandria database
Functional: PBE
Structure: optimized geometry

```
NaRhS2
1.0
1.818 1.049 6.398
-1.818 1.049 6.398
0.000 -2.099 6.398
Na Rh S
1 1 2
Cartesian
0.000 0.000 0.000
0.000 0.000 3.225
0.000 0.000 10.810
0.000 0.000 14.832
```

Results
formation energy without anion corrections	-0.733	eV per atom
total DFT energy (no corrections)	-0.1824	Ha/atom